An optimized crystal structure of NbAl2RuN, computed with PBE.

## Properties
Uncorrected energy   -7.062 eV/atom
Magnetization   0.0000 μB/atom

Unit cell a=4.201 b=3.886 c=4.201 alpha=90.00 beta=90.00 gamma=90.00
Element x y z (fractional)
Ru: 0.000 0.500 0.000
Nb: 0.500 0.500 0.500
Al: 0.000 0.000 0.500
Al: 0.500 0.000 0.000
N: 0.000 0.000 0.000

An optimized crystal structure of NbAlS2N, computed with PBE.

## Properties
Uncorrected energy   -6.122 eV/atom
Magnetization   0.0000 μB/atom

Unit cell a=4.954 b=4.954 c=3.893 alpha=90.00 beta=90.00 gamma=90.00
Element x y z (fractional)
Nb: 0.000 0.000 0.000
N: 0.000 0.000 0.500
S: 0.000 0.500 0.000
S: 0.500 0.000 0.000
Al: 0.500 0.500 0.500

An optimized crystal structure of NbAlS2N, computed with PBE.

## Properties
Uncorrected energy   -5.902 eV/atom
Magnetization   0.0001 μB/atom

Unit cell a=4.625 b=4.625 c=3.548 alpha=90.00 beta=90.00 gamma=90.00
Element x y z (fractional)
Nb: 0.500 0.500 0.500
N: 0.000 0.000 0.500
S: 0.000 0.500 0.000
S: 0.500 0.000 0.000
Al: 0.000 0.000 0.000

An optimized crystal structure of ScNb2AlN, computed with PBE.

## Properties
Uncorrected energy   -6.347 eV/atom
Magnetization   0.1102 μB/atom

Unit cell a=4.997 b=3.900 c=4.997 alpha=90.00 beta=90.00 gamma=90.00
Last column: magnetic moment on the atom in μB.
Element x y z (fractional)
Sc: 0.000 0.000 0.000  0.09
Nb: 0.000 0.000 0.500  0.15
Nb: 0.500 0.000 0.000  0.28
Al: 0.500 0.500 0.500  0.00
N: 0.000 0.500 0.000  -0.01

An optimized crystal structure of Sc2NbAlN, computed with PBE.

## Properties
Uncorrected energy   -7.825 eV/atom
Magnetization   0.0000 μB/atom

Unit cell a=4.413 b=4.413 c=4.249 alpha=90.00 beta=90.00 gamma=90.00
Element x y z (fractional)
Sc: 0.000 0.500 0.000
Sc: 0.500 0.000 0.000
Nb: 0.000 0.000 0.500
Al: 0.500 0.500 0.500
N: 0.000 0.000 0.000

An optimized crystal structure of NbAlTeN2, computed with PBE.

## Properties
Uncorrected energy   -6.387 eV/atom
Magnetization   0.0001 μB/atom

Unit cell a=4.049 b=4.049 c=5.843 alpha=90.00 beta=90.00 gamma=90.00
Element x y z (fractional)
Nb: 0.000 0.000 0.000
Te: 0.000 0.000 0.500
Al: 0.500 0.500 0.500
N: 0.000 0.500 0.000
N: 0.500 0.000 0.000

Question: What is the magnetization in the sixth record?
Answer: 0.0001 μB/atom

What did the sixth record say?
An optimized crystal structure of NbAlTeN2, computed with PBE.

## Properties
Uncorrected energy   -6.387 eV/atom
Magnetization   0.0001 μB/atom

Unit cell a=4.049 b=4.049 c=5.843 alpha=90.00 beta=90.00 gamma=90.00
Element x y z (fractional)
Nb: 0.000 0.000 0.000
Te: 0.000 0.000 0.500
Al: 0.500 0.500 0.500
N: 0.000 0.500 0.000
N: 0.500 0.000 0.000

Question: Number 3 is which compound?
Answer: NbAlS2N